No. 1
A plane-wave DFT calculation with PBE-GGA was carried out for crystalline BaMgAl at its relaxed geometry.

Cell lengths 4.843, 4.843, 16.486 Å; angles 90.00, 90.00, 90.00 degrees
Fractional coordinates of all 12 atoms:
1 Ba 0.000 0.000 0.173
2 Ba 0.000 0.000 0.827
3 Ba 0.500 0.500 0.327
4 Ba 0.500 0.500 0.673
5 Mg 0.000 0.500 0.000
6 Mg 0.000 0.500 0.500
7 Mg 0.500 0.000 0.000
8 Mg 0.500 0.000 0.500
9 Al 0.000 0.000 0.403
10 Al 0.000 0.000 0.597
11 Al 0.500 0.500 0.097
12 Al 0.500 0.500 0.903

Output
formation energy = -0.124 eV/atom
symmetry = No. 139
total energy = -2.54 eV/atom
mass density = 3.24 g/cm3



No. 2
A plane-wave DFT calculation with PBE-GGA was carried out for crystalline Ba4MgAl4 at its relaxed geometry.

Cell lengths 8.787, 8.787, 8.787 Å; angles 131.98, 131.98, 70.26 degrees
Fractional coordinates of all 9 atoms:
1 Ba 0.070 0.639 0.000
2 Ba 0.361 0.361 0.431
3 Ba 0.639 0.070 0.000
4 Ba 0.930 0.930 0.569
5 Mg 0.500 0.500 0.000
6 Al 0.172 0.172 0.548
7 Al 0.375 0.828 0.000
8 Al 0.625 0.625 0.452
9 Al 0.828 0.375 0.000

Output
formation energy = 0.189 eV/atom
symmetry = No. 121
total energy = -2.51 eV/atom
mass density = 3.08 g/cm3



No. 3
A plane-wave DFT calculation with PBE-GGA was carried out for crystalline BaMg9Al2 at its relaxed geometry.

Cell lengths 9.498, 9.498, 9.498 Å; angles 99.98, 99.98, 130.80 degrees
Fractional coordinates of all 24 atoms:
1 Ba 0.375 0.625 0.750
2 Ba 0.625 0.375 0.250
3 Mg 0.125 0.875 0.250
4 Mg 0.137 0.563 0.328
5 Mg 0.137 0.810 0.575
6 Mg 0.190 0.265 0.328
7 Mg 0.190 0.863 0.925
8 Mg 0.265 0.190 0.828
9 Mg 0.265 0.437 0.075
10 Mg 0.437 0.265 0.575
11 Mg 0.437 0.863 0.172
12 Mg 0.563 0.137 0.828
13 Mg 0.563 0.735 0.425
14 Mg 0.735 0.563 0.925
15 Mg 0.735 0.810 0.172
16 Mg 0.810 0.137 0.075
17 Mg 0.810 0.735 0.672
18 Mg 0.863 0.190 0.425
19 Mg 0.863 0.437 0.672
20 Mg 0.875 0.125 0.750
21 Al 0.000 0.000 0.000
22 Al 0.000 0.000 0.500
23 Al 0.000 0.500 0.000
24 Al 0.500 0.000 0.500

Output
formation energy = -0.073 eV/atom
symmetry = No. 141
total energy = -2.05 eV/atom
mass density = 2.31 g/cm3



No. 4
A plane-wave DFT calculation with PBE-GGA was carried out for crystalline BaMg14Al at its relaxed geometry.

Cell lengths 10.420, 6.698, 6.698 Å; angles 58.05, 90.00, 90.00 degrees
Fractional coordinates of all 16 atoms:
1 Ba 0.000 0.000 0.000
2 Mg 0.000 0.004 0.496
3 Mg 0.000 0.496 0.004
4 Mg 0.229 0.639 0.639
5 Mg 0.259 0.148 0.642
6 Mg 0.259 0.642 0.148
7 Mg 0.266 0.156 0.156
8 Mg 0.500 0.485 0.485
9 Mg 0.500 0.491 0.974
10 Mg 0.500 0.974 0.491
11 Mg 0.500 0.983 0.983
12 Mg 0.734 0.156 0.156
13 Mg 0.741 0.148 0.642
14 Mg 0.741 0.642 0.148
15 Mg 0.771 0.639 0.639
16 Al 0.000 0.463 0.463

Output
formation energy = 0.063 eV/atom
symmetry = No. 38
excess energy over the best structure of this formula in the dataset = 0.000 eV per atom
total energy = -1.69 eV/atom
mass density = 2.11 g/cm3



No. 5
A plane-wave DFT calculation with PBE-GGA was carried out for crystalline BaMgAl at its relaxed geometry.

Cell lengths 5.207, 5.207, 4.183 Å; angles 90.00, 90.00, 120.00 degrees
Fractional coordinates of all 3 atoms:
1 Ba 0.000 0.000 0.000
2 Mg 0.667 0.333 0.500
3 Al 0.333 0.667 0.500

Output
formation energy = -0.051 eV/atom
symmetry = No. 187
total energy = -2.47 eV/atom
mass density = 3.19 g/cm3



No. 6
A plane-wave DFT calculation with PBE-GGA was carried out for crystalline Ba2Mg16Al at its relaxed geometry.

Cell lengths 7.987, 7.987, 7.987 Å; angles 82.77, 82.77, 82.77 degrees
Fractional coordinates of all 19 atoms:
1 Ba 0.000 0.000 0.000
2 Ba 0.330 0.330 0.330
3 Mg 0.012 0.012 0.511
4 Mg 0.012 0.511 0.012
5 Mg 0.167 0.663 0.663
6 Mg 0.319 0.319 0.817
7 Mg 0.319 0.817 0.319
8 Mg 0.373 0.664 0.956
9 Mg 0.373 0.956 0.664
10 Mg 0.511 0.012 0.012
11 Mg 0.663 0.167 0.663
12 Mg 0.663 0.663 0.167
13 Mg 0.664 0.373 0.956
14 Mg 0.664 0.956 0.373
15 Mg 0.754 0.754 0.754
16 Mg 0.817 0.319 0.319
17 Mg 0.956 0.373 0.664
18 Mg 0.956 0.664 0.373
19 Al 0.564 0.564 0.564

Output
formation energy = -0.065 eV/atom
symmetry = No. 160
total energy = -1.81 eV/atom
mass density = 2.30 g/cm3



No. 7
A plane-wave DFT calculation with PBE-GGA was carried out for crystalline BaMg10Al2 at its relaxed geometry.

Cell lengths 10.373, 7.895, 7.888 Å; angles 82.17, 48.94, 48.88 degrees
Fractional coordinates of all 13 atoms:
1 Ba 0.000 0.000 0.000
2 Mg 0.000 0.500 0.000
3 Mg 0.006 0.645 0.355
4 Mg 0.280 0.506 0.494
5 Mg 0.355 0.994 0.006
6 Mg 0.494 0.720 0.280
7 Mg 0.500 0.000 0.500
8 Mg 0.506 0.280 0.720
9 Mg 0.645 0.006 0.994
10 Mg 0.720 0.494 0.506
11 Mg 0.994 0.355 0.645
12 Al 0.000 0.000 0.500
13 Al 0.500 0.500 0.000

Output
formation energy = -0.065 eV/atom
symmetry = No. 69
total energy = -2.02 eV/atom
mass density = 2.30 g/cm3



No. 8
A plane-wave DFT calculation with PBE-GGA was carried out for crystalline BaMg4Al2 at its relaxed geometry.

Cell lengths 9.755, 7.522, 5.853 Å; angles 90.00, 126.57, 90.00 degrees
Fractional coordinates of all 14 atoms:
1 Ba 0.000 0.000 0.000
2 Ba 0.500 0.500 0.000
3 Mg 0.191 0.197 0.692
4 Mg 0.191 0.803 0.692
5 Mg 0.309 0.303 0.308
6 Mg 0.309 0.697 0.308
7 Mg 0.691 0.303 0.692
8 Mg 0.691 0.697 0.692
9 Mg 0.809 0.197 0.308
10 Mg 0.809 0.803 0.308
11 Al 0.002 0.500 0.757
12 Al 0.498 0.000 0.243
13 Al 0.502 0.000 0.757
14 Al 0.998 0.500 0.243

Output
formation energy = -0.003 eV/atom
symmetry = No. 12
total energy = -2.26 eV/atom
mass density = 2.78 g/cm3